Below is Sr3Te after structural relaxation, with properties calculated at the PBE level.

## Properties
For the formation energy without anion corrections, the calculation gives -0.757 eV per atom. As for the symmetry: R-3m. As for the total magnetization: 0.0 Bohr magnetons per cell. Its volume is 48.8 Å³ per atom.

Structure (POSCAR):
```
Sr3Te
1.0
11.587 0.010 0.006
10.722 4.392 0.006
10.722 2.115 3.849
Te Sr
1 3
Cartesian
0.000 0.000 0.000 Te
8.992 1.774 1.051 Sr
16.516 3.258 1.930 Sr
24.040 4.742 2.809 Sr
```


Below is CePuGaNi after structural relaxation, with properties calculated at the PBE level.

## Properties
As for the symmetry: F-43m. As for the total magnetization: 7.0 Bohr magnetons per cell. The formation energy comes out at -239 meV/atom. Its volume is 19.3 Å³ per atom.

Structure (POSCAR):
```
CePuGaNi
1.0
-4.358 -1.960 0.184
-1.713 -1.633 4.155
-3.570 2.310 2.188
Pu Ni Ce Ga
1 1 1 1
Cartesian
-7.231 -0.962 4.896 Pu
-2.410 -0.321 1.632 Ni
0.000 0.000 0.000 Ce
-4.821 -0.641 3.264 Ga
```


Below is BaCePb after structural relaxation, with properties calculated at the PBE level.

## Properties
As for the symmetry: P3m1. As for the total magnetization: 1.3 Bohr magnetons per cell. The formation energy comes out at -121 meV/atom. Its volume is 41.0 Å³ per atom.

Structure (POSCAR):
```
BaCePb
1.0
4.789 0.000 0.000
0.000 5.446 0.000
0.000 -2.723 4.716
Ba Ce Pb
1 1 1
Cartesian
3.219 0.000 3.144 Ba
0.922 2.723 1.572 Ce
0.648 0.000 0.000 Pb
```


Below is ZrNpScO6 after structural relaxation, with properties calculated at the PBE level.

## Properties
For the formation energy without anion corrections, the calculation gives -3.202 eV per atom. As for the symmetry: P4_2nm. As for the total magnetization: 4.0 Bohr magnetons per cell. Its volume is 13.6 Å³ per atom.

Structure (POSCAR):
```
ZrNpScO6
1.0
-0.810 -4.853 0.570
1.209 0.361 4.790
-9.509 1.853 2.260
O Zr Sc Np
12 2 2 2
Cartesian
-3.052 -0.770 2.411 O
-6.053 -1.875 5.213 O
-6.206 -0.151 3.155 O
-0.753 -0.333 4.354 O
-2.900 -2.485 4.458 O
-5.181 -2.917 2.518 O
0.270 -3.113 3.718 O
-7.107 0.911 5.869 O
-1.996 -3.546 1.754 O
0.116 -1.376 1.645 O
-8.355 -2.313 3.260 O
-3.943 0.280 5.105 O
-4.535 -1.323 3.805 Zr
-9.490 1.849 2.255 Zr
-1.400 -1.934 3.060 Sc
-6.354 1.238 1.510 Sc
-7.728 -0.701 4.564 Np
-3.173 0.618 0.754 Np
```


Below is PmPu2HfAs4 after structural relaxation, with properties calculated at the PBE level.

## Properties
As for the symmetry: P2/m. As for the total magnetization: 10.4 Bohr magnetons per cell. The formation energy comes out at -1149 meV/atom. Its volume is 24.0 Å³ per atom.

Structure (POSCAR):
```
PmPu2HfAs4
1.0
-3.721 -1.648 -0.261
-0.366 -0.295 7.082
-2.576 6.165 -2.212
Hf Pm Pu As
1 1 2 4
Cartesian
0.000 0.000 0.000 Hf
-2.043 -0.972 3.411 Pm
-3.148 2.258 -1.237 Pu
-1.471 2.935 2.435 Pu
-2.022 4.563 0.007 As
-0.920 1.306 4.863 As
-4.102 3.642 3.621 As
-2.561 0.580 0.988 As
```


Below is CaTl3Sb3Se8 after structural relaxation, with properties calculated at the PBE level.

## Properties
For the formation energy without anion corrections, the calculation gives -0.487 eV per atom. As for the symmetry: C2/m. As for the total magnetization: 0.0 Bohr magnetons per cell. Its volume is 29.1 Å³ per atom.

Structure (POSCAR):
```
CaTl3Sb3Se8
1.0
-1.089 7.167 -4.093
-5.626 -2.492 5.600
7.747 2.812 2.862
Se Tl Sb Ca
8 3 3 1
Cartesian
2.079 6.136 1.724 Se
1.717 2.662 -0.182 Se
2.555 2.573 3.826 Se
-1.046 1.352 2.645 Se
1.192 6.116 -2.155 Se
-0.160 1.372 6.524 Se
-1.523 4.914 0.544 Se
-0.684 4.825 4.552 Se
-2.813 -1.246 2.800 Tl
0.000 0.000 0.000 Tl
-3.357 2.338 0.754 Tl
3.329 4.989 -0.615 Sb
0.516 3.744 2.185 Sb
1.061 0.160 4.231 Sb
3.874 1.406 1.431 Ca
```